Here is YGaHPt2 after structural relaxation from Alexandria. Energies are from PBEsol.

Output
Total energy   -5.980 eV/atom

Unit cell a=4.057 b=4.057 c=4.424 alpha=90.00 beta=90.00 gamma=90.00
Space group P4/mmm (No. 123)
Symmetry-distinct sites (fractional):
Y: 0.000 0.000 0.000
Ga: 0.500 0.500 0.000
H: 0.500 0.500 0.500
Pt: 0.000 0.500 0.500